# 1
Here is an optimized crystal structure of TeS6Br from Alexandria. Energies are from PBE.

Cell lengths 5.6029, 9.1037, 9.1037 Å; angles 56.79, 70.69, 109.31 degrees
Closest atoms and distances in Å follow each position.
Positions (direct):
Br 0.0000 0.0000 0.0000  2 Te 2.80, 2 S 3.08
S 0.2437 0.6074 0.3926  1 S 1.96
S 0.7563 0.3926 0.6074  1 S 1.96
Te 0.5000 0.0000 0.0000  2 S 2.61, 2 Br 2.80
S 0.6870 0.8946 0.5852  1 S 1.94
S 0.3130 0.1054 0.4148  1 S 1.94
S 0.3130 0.5852 0.8946  1 S 1.94
S 0.6870 0.4148 0.1054  1 S 1.94

Results
- DOS at the Fermi energy: 0.640 states/eV per atom
- Final energy: -3.40 eV/atom
- Space-group type: C2/m, No. 12
- Energy relative to the elements, uncorrected: 298 meV/atom
- ρ: 2.38 g/cm³
- Magnetic moment: 0.00 μB/cell


# 2
Here is an optimized crystal structure of TeS2Br from Alexandria. Energies are from PBE.

Cell lengths 8.5882, 8.5882, 8.5882 Å; angles 26.55, 26.55, 26.55 degrees
Closest atoms and distances in Å follow each position.
Positions (direct):
Te 0.5000 0.5000 0.5000  6 S 2.78
Br 0.0000 0.0000 0.0000  2 S 2.54
S 0.8976 0.8976 0.8976  1 Br 2.54, 3 Te 2.78
S 0.1024 0.1024 0.1024  1 Br 2.54, 3 Te 2.78

Results
- DOS at the Fermi energy: 0.497 states/eV per atom
- Final energy: -3.06 eV/atom
- Space-group type: R-3m, No. 166
- Energy relative to the elements, uncorrected: 206 meV/atom
- ΔE to the lowest computed polymorph: 218.4 meV per atom
- ρ: 4.04 g/cm³
- Magnetic moment: 0.00 μB/cell


# 3
Here is an optimized crystal structure of TeSBr from Alexandria. Energies are from PBE.

Cell lengths 3.7981, 3.6385, 7.5796 Å; angles 90.00, 103.38, 90.00 degrees
Closest atoms and distances in Å follow each position.
Positions (direct):
Br 0.8067 0.0000 0.9704  2 Te 2.75-3.04
Te 0.1134 0.0000 0.6751  2 S 2.41-2.67
S 0.5541 0.0000 0.4471  2 Te 2.41-2.67

Results
- DOS at the Fermi energy: 0.308 states/eV per atom
- Final energy: -3.02 eV/atom
- Space-group type: Pm, No. 6
- Energy relative to the elements, uncorrected: -41 meV/atom
- ΔE to the lowest computed polymorph: 57.4 meV per atom
- ρ: 3.90 g/cm³
- Magnetic moment: 0.00 μB/cell


# 4
Here is an optimized crystal structure of Te5S12Br3 from Alexandria. Energies are from PBE.

Cell lengths 14.2049, 14.2049, 14.2049 Å; angles 109.47, 109.47, 109.47 degrees
Closest atoms and distances in Å follow each position.
Positions (direct):
S 0.6894 0.4727 0.5766  1 Te 2.45
Te 0.0000 0.0000 0.0000  6 S 2.76
S 0.4727 0.6894 0.0766  1 Te 2.45
S 0.1128 0.1894 0.2167  1 Te 2.45
Te 0.5000 0.5000 0.0000  6 S 2.76
S 0.6039 0.5766 0.8872  1 Te 2.45
S 0.8961 0.2833 0.4727  1 Te 2.45
S 0.3106 0.5273 0.4234  1 Te 2.45
Br 0.6250 0.2500 0.3750  4 S 3.05
S 0.2833 0.3872 0.8106  1 Te 2.45
S 0.8872 0.0766 0.6039  1 Te 2.45
Br 0.8750 0.7500 0.1250  4 S 3.05
Te 0.6250 0.7500 0.8750  4 S 2.45
S 0.5273 0.3106 0.9234  1 Te 2.45
S 0.5766 0.6039 0.3872  1 Te 2.45
S 0.0766 0.8872 0.1039  1 Te 2.45
Br 0.1250 0.8750 0.7500  4 S 3.05
S 0.5273 0.2167 0.1039  1 Te 2.45
S 0.6128 0.7167 0.6894  1 Te 2.45
S 0.1894 0.1128 0.7167  1 Te 2.45
S 0.0766 0.1894 0.4727  1 Te 2.45
Br 0.7500 0.3750 0.1250  4 S 3.05
Te 0.3750 0.1250 0.7500  4 S 2.45
Te 0.3750 0.2500 0.1250  4 S 2.45
Te 0.1250 0.7500 0.3750  4 S 2.45
Te 0.0000 0.0000 0.5000  6 S 2.76
S 0.0273 0.6039 0.7167  1 Te 2.45
Te 0.7500 0.1250 0.8750  4 S 2.45
S 0.6128 0.8961 0.4234  1 Te 2.45
S 0.0273 0.4234 0.8106  1 Te 2.45
S 0.7167 0.1039 0.0273  1 Te 2.45
Te 0.5000 0.0000 0.5000  6 S 2.76
S 0.6894 0.2167 0.6128  1 Te 2.45
Br 0.2500 0.1250 0.3750  4 S 3.05
S 0.2167 0.6894 0.1128  1 Te 2.45
S 0.5766 0.9727 0.6894  1 Te 2.45
S 0.9727 0.5766 0.1894  1 Te 2.45
Br 0.7500 0.8750 0.6250  4 S 3.05
S 0.3872 0.2833 0.3106  1 Te 2.45
Br 0.8750 0.1250 0.2500  4 S 3.05
Te 0.7500 0.6250 0.3750  4 S 2.45
S 0.1039 0.7167 0.5273  1 Te 2.45
S 0.8872 0.8106 0.7833  1 Te 2.45
Br 0.3750 0.7500 0.6250  4 S 3.05
Te 0.0000 0.5000 0.0000  6 S 2.76
Te 0.6250 0.8750 0.2500  4 S 2.45
S 0.3872 0.1039 0.5766  1 Te 2.45
Te 0.5000 0.5000 0.5000  6 S 2.76
S 0.9727 0.3961 0.2833  1 Te 2.45
S 0.6039 0.0273 0.2167  1 Te 2.45
S 0.4234 0.3961 0.6128  1 Te 2.45
S 0.7833 0.3106 0.8872  1 Te 2.45
S 0.2833 0.8961 0.9727  1 Te 2.45
Te 0.2500 0.3750 0.6250  4 S 2.45
S 0.1039 0.3872 0.0766  1 Te 2.45
S 0.1894 0.0766 0.9727  1 Te 2.45
S 0.8106 0.9234 0.0273  1 Te 2.45
Br 0.3750 0.6250 0.2500  4 S 3.05
Te 0.8750 0.2500 0.6250  4 S 2.45
S 0.9234 0.1128 0.8961  1 Te 2.45
S 0.8961 0.6128 0.9234  1 Te 2.45
S 0.7833 0.4727 0.3961  1 Te 2.45
Br 0.2500 0.6250 0.8750  4 S 3.05
S 0.3961 0.4234 0.1128  1 Te 2.45
S 0.9234 0.8106 0.5273  1 Te 2.45
Te 0.1250 0.3750 0.2500  4 S 2.45
Br 0.1250 0.2500 0.8750  4 S 3.05
S 0.8106 0.8872 0.2833  1 Te 2.45
Te 0.0000 0.5000 0.5000  6 S 2.76
S 0.3106 0.7833 0.3872  1 Te 2.45
Te 0.2500 0.8750 0.1250  4 S 2.45
S 0.4234 0.0273 0.3106  1 Te 2.45
S 0.2167 0.5273 0.6039  1 Te 2.45
Te 0.8750 0.6250 0.7500  4 S 2.45
S 0.3961 0.9727 0.7833  1 Te 2.45
S 0.7167 0.6128 0.1894  1 Te 2.45
Br 0.6250 0.3750 0.7500  4 S 3.05
S 0.4727 0.7833 0.8961  1 Te 2.45
Te 0.5000 0.0000 0.0000  6 S 2.76
S 0.1128 0.9234 0.3961  1 Te 2.45

Results
- DOS at the Fermi energy: 0.951 states/eV per atom
- Final energy: -3.01 eV/atom
- Space-group type: Ia-3d, No. 230
- Energy relative to the elements, uncorrected: 498 meV/atom
- ρ: 3.80 g/cm³
- Magnetic moment: 0.00 μB/cell


# 5
Here is an optimized crystal structure of TeS2Br from Alexandria. Energies are from PBE.

Cell lengths 5.0855, 6.8174, 13.9237 Å; angles 81.24, 90.00, 90.00 degrees
Closest atoms and distances in Å follow each position.
Positions (direct):
Br 0.3671 0.0462 0.7094  1 Te 2.74
Br 0.6329 0.9538 0.2906  1 Te 2.74
S 0.6436 0.4644 0.4540  1 S 2.05
S 0.2795 0.6381 0.9288  2 Te 2.37-2.62
S 0.7205 0.3619 0.0712  2 Te 2.37-2.62
Te 0.9900 0.7943 0.4275  2 S 2.37-2.62
Te 0.4900 0.7057 0.0725  2 S 2.37-2.62
S 0.2205 0.1381 0.4288  2 Te 2.37-2.62
Te 0.5100 0.2943 0.9275  2 S 2.37-2.62
S 0.8564 0.9644 0.9540  1 S 2.05
Br 0.1329 0.5462 0.2094  1 Te 2.74
S 0.7795 0.8619 0.5712  2 Te 2.37-2.62
Te 0.0100 0.2057 0.5725  2 S 2.37-2.62
S 0.3564 0.5356 0.5460  1 S 2.05
Br 0.8671 0.4538 0.7906  1 Te 2.74
S 0.1436 0.0356 0.0460  1 S 2.05

Results
- Final energy: -3.28 eV/atom
- Space-group type: P2_1/c, No. 14
- Energy relative to the elements, uncorrected: -12 meV/atom
- ΔE to the lowest computed polymorph: 0.0 meV per atom
- ρ: 3.78 g/cm³
- Magnetic moment: 0.00 μB/cell


# 6
Here is an optimized crystal structure of TeSBr from Alexandria. Energies are from PBE.

Cell lengths 5.6643, 6.0655, 7.0278 Å; angles 96.69, 90.54, 92.64 degrees
Closest atoms and distances in Å follow each position.
Positions (direct):
S 0.9396 0.5878 0.2955  2 Te 2.42-2.55
Br 0.7242 0.8487 0.7923  1 Te 2.61
Te 0.0086 0.9472 0.5208  2 S 2.55-2.85, 1 Br 2.61
Br 0.3651 0.0977 0.2625  2 Te 2.91-2.97
S 0.1339 0.3579 0.7451  1 Te 2.30
Te 0.2783 0.5283 0.4916  2 S 2.30-2.42

Results
- DOS at the Fermi energy: 0.000 states/eV per atom
- Final energy: -3.05 eV/atom
- Space-group type: P1, No. 1
- Energy relative to the elements, uncorrected: -74 meV/atom
- ΔE to the lowest computed polymorph: 24.3 meV per atom
- ρ: 3.32 g/cm³
- Magnetic moment: 0.00 μB/cell


# 7
Here is an optimized crystal structure of Te2SBr from Alexandria. Energies are from PBE.

Cell lengths 5.2902, 7.2775, 17.1720 Å; angles 104.49, 90.00, 90.00 degrees
Closest atoms and distances in Å follow each position.
Positions (direct):
Te 0.2499 0.0918 0.6855  1 Te 2.77, 2 Br 2.79
S 0.7502 0.3563 0.4336  1 Te 2.26
S 0.2498 0.6437 0.5664  1 Te 2.26
Te 0.2499 0.4082 0.8145  1 Te 2.77, 2 Br 2.79
Br 0.7501 0.5077 0.7940  2 Te 2.79
Te 0.2499 0.8960 0.0685  1 S 2.26
Te 0.7501 0.9082 0.3145  1 Te 2.77, 2 Br 2.79
S 0.2498 0.8563 0.9336  1 Te 2.26
Br 0.2499 0.4923 0.2060  2 Te 2.79
S 0.7502 0.1437 0.0664  1 Te 2.26
Te 0.7501 0.1040 0.9315  1 S 2.26
Te 0.7501 0.5918 0.1855  1 Te 2.77, 2 Br 2.79
Br 0.7501 0.9923 0.7060  2 Te 2.79
Te 0.7501 0.3960 0.5685  1 S 2.26
Br 0.2499 0.0077 0.2940  2 Te 2.79
Te 0.2499 0.6040 0.4315  1 S 2.26

Results
- DOS at the Fermi energy: 0.006 states/eV per atom
- Final energy: -2.94 eV/atom
- Space-group type: C2/m, No. 12
- Energy relative to the elements, uncorrected: 76 meV/atom
- ΔE to the lowest computed polymorph: 0.0 meV per atom
- ρ: 3.81 g/cm³
- Magnetic moment: 0.00 μB/cell


# 8
Here is an optimized crystal structure of TeSBr from Alexandria. Energies are from PBE.

Cell lengths 4.2419, 4.2419, 6.2302 Å; angles 90.00, 90.00, 120.00 degrees
Closest atoms and distances in Å follow each position.
Positions (direct):
Te 0.6667 0.3333 0.3728  3 S 2.68
S 0.3333 0.6667 0.5469  3 Te 2.68
Br 0.0000 0.0000 0.0803  3 Te 3.05

Results
- DOS at the Fermi energy: 0.611 states/eV per atom
- Final energy: -2.92 eV/atom
- Space-group type: P3m1, No. 156
- Energy relative to the elements, uncorrected: 65 meV/atom
- ΔE to the lowest computed polymorph: 164.0 meV per atom
- ρ: 4.10 g/cm³
- Magnetic moment: 0.00 μB/cell


# 9
Here is an optimized crystal structure of Te2SBr from Alexandria. Energies are from PBE.

Cell lengths 9.7367, 9.7367, 9.7367 Å; angles 21.84, 21.84, 21.84 degrees
Closest atoms and distances in Å follow each position.
Positions (direct):
Te 0.9010 0.9010 0.9010  1 Br 2.82, 3 S 2.87
S 0.5000 0.5000 0.5000  6 Te 2.87
Te 0.0990 0.0990 0.0990  1 Br 2.82, 3 S 2.87
Br 0.0000 0.0000 0.0000  2 Te 2.82

Results
- DOS at the Fermi energy: 0.757 states/eV per atom
- Final energy: -2.78 eV/atom
- Space-group type: R-3m, No. 166
- Energy relative to the elements, uncorrected: 237 meV/atom
- ΔE to the lowest computed polymorph: 161.5 meV per atom
- ρ: 5.44 g/cm³
- Magnetic moment: 0.00 μB/cell


# 10
Here is an optimized crystal structure of Te2S3Br from Alexandria. Energies are from PBE.

Cell lengths 7.1357, 10.8707, 7.2583 Å; angles 127.49, 73.96, 119.94 degrees
Closest atoms and distances in Å follow each position.
Positions (direct):
Te 0.2126 0.7779 0.9278  2 S 2.47-2.48
S 0.9521 0.5262 0.4074  1 S 2.10
S 0.2461 0.9641 0.6049  2 Te 2.44-2.51
S 0.7539 0.0359 0.3951  2 Te 2.44-2.51
Br 0.7831 0.6596 0.1582  2 Te 2.91-3.11
S 0.5471 0.8166 0.7093  2 Te 2.47-2.51
Te 0.4500 0.7833 0.3698  3 S 2.44-2.51
Te 0.7874 0.2221 0.0722  2 S 2.47-2.48
Br 0.2169 0.3404 0.8418  2 Te 2.91-3.11
S 0.0479 0.4738 0.5926  1 S 2.10
Te 0.5500 0.2167 0.6302  3 S 2.44-2.51
S 0.4529 0.1834 0.2907  2 Te 2.47-2.51

Results
- Final energy: -3.41 eV/atom
- Space-group type: P-1, No. 2
- Energy relative to the elements, uncorrected: -21 meV/atom
- ρ: 3.70 g/cm³
- Magnetic moment: 0.00 μB/cell


# 11
Here is an optimized crystal structure of Te2SBr from Alexandria. Energies are from PBE.

Cell lengths 10.1561, 10.1561, 10.1561 Å; angles 20.22, 20.22, 20.22 degrees
Closest atoms and distances in Å follow each position.
Positions (direct):
Te 0.9189 0.9189 0.9189  1 S 2.42
Te 0.0811 0.0811 0.0811  1 S 2.42
S 0.0000 0.0000 0.0000  2 Te 2.42
Br 0.5000 0.5000 0.5000  6 Te 3.28, 6 Br 3.57

Results
- DOS at the Fermi energy: 0.696 states/eV per atom
- Final energy: -2.73 eV/atom
- Space-group type: R-3m, No. 166
- Energy relative to the elements, uncorrected: 292 meV/atom
- ΔE to the lowest computed polymorph: 216.3 meV per atom
- ρ: 5.57 g/cm³
- Magnetic moment: 0.00 μB/cell


# 12
Here is an optimized crystal structure of Te3S3Br from Alexandria. Energies are from PBE.

Cell lengths 8.2975, 8.2975, 9.4654 Å; angles 64.00, 64.00, 60.00 degrees
Closest atoms and distances in Å follow each position.
Positions (direct):
S 0.6412 0.1550 0.3089  2 Te 2.43
Te 0.9403 0.2114 0.1857  2 S 2.43
Te 0.2114 0.6626 0.1857  2 S 2.43
Te 0.6626 0.9403 0.1857  2 S 2.43
S 0.1050 0.3588 0.6911  2 Te 2.43
Te 0.0597 0.7886 0.8143  2 S 2.43
S 0.3588 0.8450 0.6911  2 Te 2.43
S 0.8450 0.1050 0.6911  2 Te 2.43
Br 0.6666 0.6666 0.0001  6 Te 3.39-3.41
Te 0.7886 0.3374 0.8143  2 S 2.43
Br 0.3334 0.3334 0.9999  6 Te 3.39-3.41
S 0.8950 0.6412 0.3089  2 Te 2.43
Te 0.3374 0.0597 0.8143  2 S 2.43
S 0.1550 0.8950 0.3089  2 Te 2.43

Results
- DOS at the Fermi energy: 0.134 states/eV per atom
- Final energy: -3.35 eV/atom
- Space-group type: R-3, No. 148
- Energy relative to the elements, uncorrected: 4 meV/atom
- ρ: 3.81 g/cm³
- Magnetic moment: 0.00 μB/cell